Entry i
A plane-wave DFT calculation with GGA-PBE was carried out for a geometry-optimized Ac2Tl3Pd2 structure.

Calculated values
SG: C2/m, No. 12
DOS at the Fermi energy, states/eV/cell: 4.04

a b c (Å): 6.070 6.070 8.042
angles (deg): 96.20 96.20 41.81
Fractional positions:
Ac  0.120  0.120  0.344
Ac  0.880  0.880  0.656
Tl  0.190  0.190  0.856
Tl  0.500  0.500  0.000
Tl  0.810  0.810  0.144
Pd  0.406  0.406  0.370
Pd  0.594  0.594  0.630


Entry ii
A plane-wave DFT calculation with GGA-PBE was carried out for a geometry-optimized Ac2Tl3Pd2 structure.

Calculated values
SG: Cmmm, No. 65
DOS at the Fermi energy, states/eV/cell: 5.03

a b c (Å): 11.166 11.166 4.171
angles (deg): 90.00 90.00 157.33
Fractional positions:
Ac  0.169  0.831  0.000
Ac  0.831  0.169  0.000
Tl  0.000  0.000  0.000
Tl  0.427  0.573  0.500
Tl  0.573  0.427  0.500
Pd  0.291  0.709  0.500
Pd  0.709  0.291  0.500


Energies relative to the most stable structure are entry i 18; entry ii 0, reported in meV/atom.


Entry i
A plane-wave DFT calculation with GGA-PBE was carried out for a geometry-optimized AcTl2Pd2 structure.

Calculated values
SG: C2/c, No. 15
DOS at the Fermi energy, states/eV/cell: 3.00

a b c (Å): 7.761 7.761 5.813
angles (deg): 106.33 106.33 120.80
Fractional positions:
Ac  0.163  0.837  0.750
Ac  0.837  0.163  0.250
Tl  0.190  0.332  0.957
Tl  0.332  0.190  0.457
Tl  0.668  0.810  0.543
Tl  0.810  0.668  0.043
Pd  0.258  0.742  0.250
Pd  0.383  0.617  0.750
Pd  0.617  0.383  0.250
Pd  0.742  0.258  0.750


Entry ii
A plane-wave DFT calculation with GGA-PBE was carried out for a geometry-optimized AcTl2Pd2 structure.

Calculated values
SG: I4/mmm, No. 139
DOS at the Fermi energy, states/eV/cell: 2.57

a b c (Å): 7.169 7.169 7.169
angles (deg): 144.09 144.09 51.70
Fractional positions:
Ac  0.000  0.000  0.000
Tl  0.250  0.750  0.500
Tl  0.750  0.250  0.500
Pd  0.397  0.397  0.000
Pd  0.603  0.603  0.000


Energies relative to the most stable structure are entry i 49; entry ii 0, reported in meV/atom.


Entry i
A plane-wave DFT calculation with GGA-PBE was carried out for a geometry-optimized Ac2TlPd9 structure.

Calculated values
SG: R-3m, No. 166
DOS at the Fermi energy, states/eV/cell: 9.26

a b c (Å): 9.684 9.684 9.684
angles (deg): 33.07 33.07 33.07
Fractional positions:
Ac  0.134  0.134  0.134
Ac  0.866  0.866  0.866
Tl  0.000  0.000  0.000
Pd  0.081  0.585  0.585
Pd  0.333  0.333  0.333
Pd  0.415  0.415  0.919
Pd  0.415  0.919  0.415
Pd  0.500  0.500  0.500
Pd  0.585  0.081  0.585
Pd  0.585  0.585  0.081
Pd  0.667  0.667  0.667
Pd  0.919  0.415  0.415


Entry ii
A plane-wave DFT calculation with GGA-PBE was carried out for a geometry-optimized Ac2TlPd9 structure.

Calculated values
SG: P4/mmm, No. 123
DOS at the Fermi energy, states/eV/cell: 5.36

a b c (Å): 4.291 4.291 12.451
angles (deg): 90.00 90.00 90.00
Fractional positions:
Ac  0.000  0.000  0.175
Ac  0.000  0.000  0.825
Tl  0.000  0.000  0.500
Pd  0.000  0.500  0.000
Pd  0.000  0.500  0.347
Pd  0.000  0.500  0.653
Pd  0.500  0.000  0.000
Pd  0.500  0.000  0.347
Pd  0.500  0.000  0.653
Pd  0.500  0.500  0.173
Pd  0.500  0.500  0.500
Pd  0.500  0.500  0.827


Energies relative to the most stable structure are entry i 75; entry ii 0, reported in meV/atom.


Entry i
A plane-wave DFT calculation with GGA-PBE was carried out for a geometry-optimized AcTmPd4 structure.

Calculated values
SG: Cmcm, No. 63
DOS at the Fermi energy, states/eV/cell: 2.55

a b c (Å): 10.386 10.386 5.793
angles (deg): 90.00 90.00 156.19
Fractional positions:
Ac  0.217  0.783  0.750
Ac  0.783  0.217  0.250
Tm  0.071  0.929  0.250
Tm  0.929  0.071  0.750
Pd  0.068  0.932  0.750
Pd  0.360  0.640  0.001
Pd  0.360  0.640  0.499
Pd  0.500  0.500  0.000
Pd  0.500  0.500  0.500
Pd  0.640  0.360  0.501
Pd  0.640  0.360  0.999
Pd  0.932  0.068  0.250


Entry ii
A plane-wave DFT calculation with GGA-PBE was carried out for a geometry-optimized AcTmPd4 structure.

Calculated values
SG: F-43m, No. 216
DOS at the Fermi energy, states/eV/cell: 1.54

a b c (Å): 5.552 5.552 5.552
angles (deg): 60.00 60.00 60.00
Fractional positions:
Ac  0.000  0.000  0.000
Tm  0.250  0.250  0.250
Pd  0.127  0.624  0.624
Pd  0.624  0.127  0.624
Pd  0.624  0.624  0.127
Pd  0.624  0.624  0.624


Energies relative to the most stable structure are entry i 0; entry ii 84, reported in meV/atom.


Entry i
A plane-wave DFT calculation with GGA-PBE was carried out for a geometry-optimized AcTmPd structure.

Calculated values
SG: F-43m, No. 216
DOS at the Fermi energy, states/eV/cell: 3.42

a b c (Å): 5.109 5.109 5.109
angles (deg): 60.00 60.00 60.00
Fractional positions:
Ac  0.000  0.000  0.000
Tm  0.500  0.500  0.500
Pd  0.250  0.250  0.250


Entry ii
A plane-wave DFT calculation with GGA-PBE was carried out for a geometry-optimized AcTmPd structure.

Calculated values
SG: P2_1/c, No. 14
DOS at the Fermi energy, states/eV/cell: 11.28

a b c (Å): 7.397 6.517 7.729
angles (deg): 90.00 107.88 90.00
Fractional positions:
Ac  0.145  0.133  0.363
Ac  0.145  0.367  0.863
Ac  0.855  0.633  0.137
Ac  0.855  0.867  0.637
Tm  0.422  0.652  0.299
Tm  0.422  0.848  0.799
Tm  0.578  0.152  0.201
Tm  0.578  0.348  0.701
Pd  0.195  0.594  0.524
Pd  0.195  0.906  0.024
Pd  0.805  0.094  0.976
Pd  0.805  0.406  0.476


Energies relative to the most stable structure are entry i 192; entry ii 0, reported in meV/atom.


Entry i
A plane-wave DFT calculation with GGA-PBE was carried out for a geometry-optimized AcTmPd structure.

Calculated values
SG: P3m1, No. 156
DOS at the Fermi energy, states/eV/cell: 2.20

a b c (Å): 4.757 4.757 4.618
angles (deg): 90.00 90.00 120.00
Fractional positions:
Ac  0.000  0.000  0.000
Tm  0.333  0.667  0.499
Pd  0.667  0.333  0.595


Entry ii
A plane-wave DFT calculation with GGA-PBE was carried out for a geometry-optimized AcTmPd structure.

Calculated values
SG: I4/mmm, No. 139
DOS at the Fermi energy, states/eV/cell: 11.29

a b c (Å): 8.493 8.493 8.493
angles (deg): 97.34 97.34 138.11
Fractional positions:
Ac  0.000  0.265  0.265
Ac  0.000  0.735  0.735
Ac  0.265  0.000  0.265
Ac  0.735  0.000  0.735
Tm  0.330  0.330  0.659
Tm  0.330  0.670  0.000
Tm  0.670  0.330  0.000
Tm  0.670  0.670  0.341
Pd  0.147  0.500  0.647
Pd  0.500  0.147  0.647
Pd  0.500  0.853  0.353
Pd  0.853  0.500  0.353


Entry iii
A plane-wave DFT calculation with GGA-PBE was carried out for a geometry-optimized AcTmPd structure.

Calculated values
SG: I4mm, No. 107
DOS at the Fermi energy, states/eV/cell: 2.52

a b c (Å): 6.894 6.894 6.894
angles (deg): 149.02 149.02 44.38
Fractional positions:
Ac  0.000  0.000  0.000
Tm  0.273  0.273  0.000
Pd  0.668  0.668  0.000


Energies relative to the most stable structure are entry i 100; entry ii 145; entry iii 0, reported in meV/atom.


Entry i
A plane-wave DFT calculation with GGA-PBE was carried out for a geometry-optimized AcTmPd2 structure.

Calculated values
SG: R-3m, No. 166
DOS at the Fermi energy, states/eV/cell: 2.48

a b c (Å): 5.915 5.915 5.915
angles (deg): 47.38 47.38 47.38
Fractional positions:
Ac  0.000  0.000  0.000
Tm  0.500  0.500  0.500
Pd  0.217  0.217  0.217
Pd  0.783  0.783  0.783


Entry ii
A plane-wave DFT calculation with GGA-PBE was carried out for a geometry-optimized AcTmPd2 structure.

Calculated values
SG: Fm-3m, No. 225
DOS at the Fermi energy, states/eV/cell: 3.20

a b c (Å): 5.167 5.167 5.167
angles (deg): 60.00 60.00 60.00
Fractional positions:
Ac  0.000  0.000  0.000
Tm  0.500  0.500  0.500
Pd  0.250  0.250  0.250
Pd  0.750  0.750  0.750


Entry iii
A plane-wave DFT calculation with GGA-PBE was carried out for a geometry-optimized AcTmPd2 structure.

Calculated values
SG: R3m, No. 160
DOS at the Fermi energy, states/eV/cell: 3.11

a b c (Å): 7.521 7.521 7.521
angles (deg): 32.26 32.26 32.26
Fractional positions:
Ac  0.000  0.000  0.000
Tm  0.174  0.174  0.174
Pd  0.577  0.577  0.577
Pd  0.764  0.764  0.764


Entry iv
A plane-wave DFT calculation with GGA-PBE was carried out for a geometry-optimized AcTmPd2 structure.

Calculated values
SG: P4/mmm, No. 123
DOS at the Fermi energy, states/eV/cell: 3.82

a b c (Å): 3.623 3.623 7.295
angles (deg): 90.00 90.00 90.00
Fractional positions:
Ac  0.000  0.000  0.000
Tm  0.000  0.000  0.500
Pd  0.500  0.500  0.289
Pd  0.500  0.500  0.711


Energies relative to the most stable structure are entry i 0; entry ii 68; entry iii 123; entry iv 14, reported in meV/atom.


Entry i
A plane-wave DFT calculation with GGA-PBE was carried out for a geometry-optimized AcYPd4 structure.

Calculated values
SG: Cmcm, No. 63
DOS at the Fermi energy, states/eV/cell: 2.70

a b c (Å): 10.378 10.378 5.848
angles (deg): 90.00 90.00 155.98
Fractional positions:
Ac  0.219  0.781  0.750
Ac  0.781  0.219  0.250
Y  0.073  0.927  0.250
Y  0.927  0.073  0.750
Pd  0.069  0.931  0.750
Pd  0.359  0.641  0.005
Pd  0.359  0.641  0.495
Pd  0.500  0.500  0.000
Pd  0.500  0.500  0.500
Pd  0.641  0.359  0.505
Pd  0.641  0.359  0.995
Pd  0.931  0.069  0.250


Entry ii
A plane-wave DFT calculation with GGA-PBE was carried out for a geometry-optimized AcYPd4 structure.

Calculated values
SG: F-43m, No. 216
DOS at the Fermi energy, states/eV/cell: 0.94

a b c (Å): 5.569 5.569 5.569
angles (deg): 60.00 60.00 60.00
Fractional positions:
Ac  0.000  0.000  0.000
Y  0.750  0.750  0.750
Pd  0.375  0.375  0.375
Pd  0.375  0.375  0.874
Pd  0.375  0.874  0.375
Pd  0.874  0.375  0.375


Energies relative to the most stable structure are entry i 0; entry ii 58, reported in meV/atom.